1.
Compound: PmPaCo4
Source: Alexandria via LeMat-Bulk
Functional: GGA-PBE
Structure: relaxed

a b c (Å): 5.026 5.026 5.026
angles (deg): 60.00 60.00 60.00
Fractional coordinates of all 6 atoms:
Pm: 0.000 0.000 0.000
Pa: 0.250 0.250 0.250
Co: 0.126 0.625 0.625
Co: 0.625 0.126 0.625
Co: 0.625 0.625 0.126
Co: 0.625 0.625 0.625

The formation energy is -0.165 eV per atom.

***

2.
Compound: ErUMn2
Source: Alexandria via LeMat-Bulk
Functional: GGA-PBE
Structure: relaxed

a b c (Å): 3.223 3.223 6.776
angles (deg): 90.00 90.00 90.00
Fractional coordinates of all 4 atoms:
Er: 0.000 0.000 0.000
U: 0.000 0.000 0.500
Mn: 0.500 0.500 0.305
Mn: 0.500 0.500 0.695

The formation energy is 0.080 eV per atom.

***

3.
Compound: ZnCd2Os
Source: Alexandria via LeMat-Bulk
Functional: GGA-PBE
Structure: relaxed

a b c (Å): 2.850 2.850 9.989
angles (deg): 90.00 90.00 118.67
Fractional coordinates of all 4 atoms:
Zn: 0.000 0.000 0.000
Cd: 0.000 0.000 0.461
Cd: 0.500 0.500 0.748
Os: 0.500 0.500 0.213

The formation energy is 0.380 eV per atom.

***

4.
Compound: FeGeRh3
Source: Alexandria via LeMat-Bulk
Functional: GGA-PBE
Structure: relaxed

a b c (Å): 4.477 4.477 4.477
angles (deg): 90.00 90.00 90.00
Fractional coordinates of all 5 atoms:
Fe: 0.000 0.000 0.000
Ge: 0.500 0.500 0.500
Rh: 0.000 0.000 0.500
Rh: 0.000 0.500 0.000
Rh: 0.500 0.000 0.000

As for the energy above the most stable polymorph in this dataset: 0.211 eV/atom. The formation energy is 0.927 eV per atom.

***

5.
Compound: PuSi2Os
Source: Alexandria via LeMat-Bulk
Functional: GGA-PBE
Structure: relaxed

a b c (Å): 4.115 5.253 6.485
angles (deg): 90.00 90.00 90.00
Fractional coordinates of all 8 atoms:
Pu: 0.250 0.250 0.065
Pu: 0.750 0.750 0.935
Si: 0.250 0.509 0.640
Si: 0.250 0.991 0.640
Si: 0.750 0.009 0.360
Si: 0.750 0.491 0.360
Os: 0.250 0.750 0.311
Os: 0.750 0.250 0.689

The formation energy without anion corrections comes out at -1.5 eV/f.u.

***

Number 1: Fermi-level density of states 8.61 states/eV per cell, calculated total energy -0.535 Ry per atom. Number 2: Fermi-level density of states 5.55 states/eV per cell, calculated total energy -0.622 Ry per atom. Number 3: Fermi-level density of states 2.63 states/eV per cell, calculated total energy -0.235 Ry per atom. Number 4: Fermi-level density of states 4.43 states/eV per cell, calculated total energy -0.448 Ry per atom. Number 5: Fermi-level density of states 18.52 states/eV per cell, calculated total energy -0.697 Ry per atom.